Entry 1:
VASP calculation (GGA-PBE) on a relaxed LiTbHo2 crystal.

Unit cell a=3.4486 b=3.4486 c=36.2951 alpha=90.00 beta=90.00 gamma=120.00
Space group R-3m (No. 166, hexagonal axes)
One atom of each set of equivalent atoms:
Li (0.0000, 0.0000, 0.0000) [3 per cell]
Tb (0.0000, 0.0000, 0.5000) [3 per cell]
Ho (0.0000, 0.0000, 0.0886) [6 per cell]

For the offset from the most stable computed form, the calculation gives 0.461 eV/f.u. The crystal system is trigonal. The calculation puts the volume at 31.15 A^3/atom.



Entry 2:
VASP calculation (GGA-PBE) on a relaxed TbPm6Tm5 crystal.

Unit cell a=5.081 b=10.006 c=15.222 alpha=90.00 beta=90.00 gamma=90.00
Space group Immm (No. 71)
One atom of each set of equivalent atoms:
Tb (0.000, 0.000, 0.000) [2 per cell]
Pm (0.000, 0.249, 0.500) [4 per cell]
Pm (0.000, 0.251, 0.167) [8 per cell]
Tm (0.000, 0.000, 0.333) [4 per cell]
Tm (0.000, 0.500, 0.000) [2 per cell]
Tm (0.000, 0.500, 0.333) [4 per cell]

The crystal system is orthorhombic. The calculation puts the volume at 32.24 A^3/atom. Its total energy is -110.548 eV/cell.



Entry 3:
VASP calculation (GGA-PBE) on a relaxed TlAgRu2O8 crystal.

Unit cell a=5.4761 b=5.4761 c=24.2344 alpha=90.00 beta=90.00 gamma=120.00
Space group R-3 (No. 148, hexagonal axes)
One atom of each set of equivalent atoms:
Tl (0.0000, 0.0000, 0.0000) [3 per cell]
Ag (0.0000, 0.0000, 0.5000) [3 per cell]
Ru (0.0000, 0.0000, 0.2461) [6 per cell]
O (0.0000, 0.0000, 0.3186) [6 per cell]
O (0.0005, 0.3056, 0.2228) [18 per cell]

The value obtained for the formation energy without anion corrections is -0.646 eV per atom. The crystal system is trigonal. The calculation puts the volume at 17.48 A^3/atom.



Entry 4:
VASP calculation (GGA-PBE) on a relaxed Ce6Ga crystal.

Unit cell a=7.599 b=7.599 c=7.599 alpha=90.00 beta=90.00 gamma=90.00
Space group Im-3m (No. 229)
One atom of each set of equivalent atoms:
Ce (0.000, 0.250, 0.500) [12 per cell]
Ga (0.000, 0.000, 0.000) [2 per cell]

The crystal system is cubic. The calculation puts the volume at 31.34 A^3/atom. Its total energy is -65.218 eV/cell.



Entry 5:
VASP calculation (GGA-PBE) on a relaxed La12As3N5 crystal.

Unit cell a=16.179 b=16.179 c=16.179 alpha=90.00 beta=90.00 gamma=90.00
Space group Ia-3d (No. 230)
One atom of each set of equivalent atoms:
La (0.034, 0.053, 0.649) [96 per cell]
As (0.000, 0.250, 0.125) [24 per cell]
N (0.000, 0.000, 0.000) [16 per cell]
N (0.000, 0.250, 0.375) [24 per cell]

The value obtained for the formation energy without anion corrections is -1.060 eV per atom. The crystal system is cubic. The calculation puts the volume at 26.47 A^3/atom.



Entry 6:
VASP calculation (GGA-PBE) on a relaxed ZrGa2Ag crystal.

Unit cell a=4.235 b=4.235 c=3.999 alpha=90.00 beta=90.00 gamma=90.00
Space group P4/mmm (No. 123)
One atom of each set of equivalent atoms:
Zr (0.000, 0.000, 0.000) [1 per cell]
Ga (0.000, 0.500, 0.500) [2 per cell]
Ag (0.500, 0.500, 0.000) [1 per cell]

For the offset from the most stable computed form, the calculation gives 0.000 eV/f.u. The crystal system is tetragonal. The calculation puts the volume at 17.93 A^3/atom.



Entry 7:
VASP calculation (GGA-PBE) on a relaxed CaZrOs2 crystal.

Unit cell a=7.535 b=7.535 c=5.591 alpha=90.00 beta=90.00 gamma=90.00
Space group I-42d (No. 122)
One atom of each set of equivalent atoms:
Ca (0.000, 0.000, 0.000) [4 per cell]
Zr (0.000, 0.000, 0.500) [4 per cell]
Os (0.231, 0.250, 0.625) [8 per cell]

The crystal system is tetragonal. The calculation puts the volume at 19.84 A^3/atom. Its total energy is -120.711 eV/cell.



Entry 8:
VASP calculation (GGA-PBE) on a relaxed KZr2P crystal.

Unit cell a=4.207 b=4.456 c=4.496 alpha=90.00 beta=90.00 gamma=90.00
Space group Pmmm (No. 47)
One atom of each set of equivalent atoms:
K (0.000, 0.000, 0.000) [1 per cell]
Zr (0.500, 0.000, 0.500) [1 per cell]
Zr (0.500, 0.500, 0.000) [1 per cell]
P (0.000, 0.500, 0.500) [1 per cell]

The crystal system is orthorhombic. The calculation puts the volume at 21.07 A^3/atom. Its total energy is -21.890 eV/cell.



Entry 9:
VASP calculation (GGA-PBE) on a relaxed TmZrS2 crystal.

Unit cell a=3.7732 b=3.7732 c=18.4920 alpha=90.00 beta=90.00 gamma=120.00
Space group R-3m (No. 166, hexagonal axes)
One atom of each set of equivalent atoms:
Tm (0.0000, 0.0000, 0.0000) [3 per cell]
Zr (0.0000, 0.0000, 0.5000) [3 per cell]
S (0.0000, 0.0000, 0.2488) [6 per cell]

The value obtained for the formation energy without anion corrections is -1.650 eV per atom. For the offset from the most stable computed form, the calculation gives 0.000 eV/f.u. The crystal system is trigonal. The calculation puts the volume at 19.00 A^3/atom.



Entry 10:
VASP calculation (GGA-PBE) on a relaxed Ac2TaRhS6 crystal.

Unit cell a=6.658 b=9.371 c=7.242 alpha=90.00 beta=90.00 gamma=90.00
Space group Pmmn (No. 59, origin choice 2)
One atom of each set of equivalent atoms:
Ac (0.250, 0.005, 0.195) [4 per cell]
Ta (0.250, 0.750, 0.709) [2 per cell]
Rh (0.250, 0.250, 0.740) [2 per cell]
S (0.004, 0.750, 0.007) [4 per cell]
S (0.019, 0.250, 0.490) [4 per cell]
S (0.250, 0.502, 0.791) [4 per cell]

The value obtained for the formation energy without anion corrections is -1.251 eV per atom. The crystal system is orthorhombic. The calculation puts the volume at 22.59 A^3/atom.



Entry 11:
VASP calculation (GGA-PBE) on a relaxed CdIrI2N crystal.

Unit cell a=5.883 b=5.883 c=4.135 alpha=90.00 beta=90.00 gamma=90.00
Space group P4/mmm (No. 123)
One atom of each set of equivalent atoms:
Cd (0.000, 0.000, 0.000) [1 per cell]
Ir (0.500, 0.500, 0.500) [1 per cell]
I (0.000, 0.500, 0.000) [2 per cell]
N (0.000, 0.000, 0.500) [1 per cell]

The value obtained for the formation energy without anion corrections is 1.676 eV per atom. For the offset from the most stable computed form, the calculation gives 6.843 eV/f.u. The crystal system is tetragonal. The calculation puts the volume at 28.63 A^3/atom.



Entry 12:
VASP calculation (GGA-PBE) on a relaxed ZrPtNO2 crystal.

Unit cell a=3.949 b=3.949 c=3.997 alpha=90.00 beta=90.00 gamma=90.00
Space group P4/mmm (No. 123)
One atom of each set of equivalent atoms:
Zr (0.000, 0.000, 0.000) [1 per cell]
Pt (0.500, 0.500, 0.500) [1 per cell]
N (0.500, 0.500, 0.000) [1 per cell]
O (0.000, 0.500, 0.500) [2 per cell]

The value obtained for the formation energy without anion corrections is -0.191 eV per atom. The crystal system is tetragonal. The calculation puts the volume at 12.47 A^3/atom.



Magnetic moment across the listed records, respectively: 0.00, 0.00, 0.16, 0.00, 0.12, 0.00, 0.00, 0.00, 0.00, 0.00, 0.84, 0.00 μB/atom.